No. 1
## Fe3Re2 (PBE)

Data for a relaxed structure of Fe3Re2.

a b c (Å): 8.755 12.377 4.545
angles (deg): 90.00 90.00 90.00
Space group Fdd2 (No. 43)
One atom of each set of equivalent atoms:
Fe 0.000 0.000 0.000 x8
Fe 0.048 0.099 0.463 x16
Re 0.034 0.198 0.937 x16

Computed properties:
uncorrected energy: -9.927 eV/atom
magnetic moment: 0.0 μB/f.u.
Fermi-level density of states: 6.10 states/eV/f.u.
energy of formation from the pure elements: 0.130 eV per atom

***

No. 2
## FeRe (PBE)

Data for a relaxed structure of FeRe.

a b c (Å): 3.067 4.197 4.221
angles (deg): 90.00 90.00 90.00
Space group Cmmm (No. 65)
One atom of each set of equivalent atoms:
Fe 0.000 0.000 0.000 x2
Re 0.000 0.500 0.500 x2

Computed properties:
uncorrected energy: -10.307 eV/atom
magnetic moment: 2.5 μB/f.u.
Fermi-level density of states: 1.69 states/eV/f.u.
energy of formation from the pure elements: 0.149 eV per atom